# 1
NiW: relaxed, PBE.

Cell lengths 4.284, 4.284, 4.284 Å; angles 60.00, 60.00, 60.00 degrees
Fractional positions:
Ni (0.125, 0.125, 0.125)
Ni (0.875, 0.875, 0.875)
W (0.375, 0.375, 0.375)
W (0.625, 0.625, 0.625)

Output
energy of formation from the pure elements: 280 meV/atom
SG: Fd-3m (227)

=====

# 2
Cd4Pd2Au3: relaxed, PBE.

Cell lengths 4.187, 5.003, 8.970 Å; angles 76.43, 89.80, 65.29 degrees
Fractional positions:
Cd (0.009, 0.480, 0.334)
Cd (0.335, 0.829, 0.113)
Cd (0.665, 0.171, 0.887)
Cd (0.991, 0.520, 0.666)
Pd (0.332, 0.838, 0.784)
Pd (0.668, 0.162, 0.216)
Au (0.000, 0.500, 0.000)
Au (0.333, 0.833, 0.439)
Au (0.667, 0.167, 0.561)

Output
energy of formation from the pure elements: -262 meV/atom
SG: P-1 (2)

=====

# 3
PrDyF5: relaxed, PBE.

Cell lengths 6.109, 6.109, 8.247 Å; angles 109.45, 109.45, 72.15 degrees
Fractional positions:
Pr (0.004, 0.996, 0.750)
Pr (0.996, 0.004, 0.250)
Dy (0.500, 0.500, 0.000)
Dy (0.500, 0.500, 0.500)
F (0.177, 0.822, 0.008)
F (0.178, 0.823, 0.492)
F (0.250, 0.264, 0.378)
F (0.264, 0.250, 0.878)
F (0.349, 0.651, 0.750)
F (0.651, 0.349, 0.250)
F (0.736, 0.750, 0.122)
F (0.750, 0.736, 0.622)
F (0.822, 0.177, 0.508)
F (0.823, 0.178, 0.992)

Output
E_form (uncorrected): -365 kJ/mol of atoms
SG: C2/c (15)

=====

E_tot: -9.09, -2.91, -6.46 (eV per atom)